TmGa2Sn2 | PBE | optimized geometry

abc: 5.581 5.581 7.066
angles: 126.98 126.98 43.24
Fractional coordinates of all 5 atoms:
Tm (0.000, 0.000, 0.000)
Ga (0.373, 0.373, 0.161)
Ga (0.627, 0.627, 0.839)
Sn (0.190, 0.190, 0.601)
Sn (0.810, 0.810, 0.399)

Values from the calculation:
ΔE to the lowest computed polymorph   0.0227 eV/atom
Formation energy from the elements   -0.2626 eV/atom
Calculated volume   115.0 Å³/f.u.
DOS(E_F)   1.6 states/eV/f.u.
Total magnetic moment   0.0 μB/f.u.